{"formula": "YW4Cl", "functional": "PBE", "state": "optimized geometry", "e_tot_ev_per_atom": -9.21, "cell": [[0.000, 3.877, 3.877], [3.877, 0.000, 3.877], [3.877, 3.877, 0.000]], "species": ["Y", "W", "W", "W", "W", "Cl"], "fractional_positions": [[0.000, 0.000, 0.000], [0.376, 0.376, 0.376], [0.376, 0.376, 0.872], [0.376, 0.872, 0.376], [0.872, 0.376, 0.376], [0.750, 0.750, 0.750]]}